# 1
A plane-wave DFT calculation with PBE was carried out for a relaxed structure of Th2H2Pt3.

a = 4.994 Å, b = 4.994 Å, c = 7.155 Å
α = 107.25°, β = 107.25°, γ = 46.46°
Fractional positions:
Th  0.129  0.129  0.269
Th  0.871  0.871  0.731
H  0.242  0.242  0.605
H  0.758  0.758  0.395
Pt  0.371  0.371  0.069
Pt  0.500  0.500  0.500
Pt  0.629  0.629  0.931

Results
calculated total energy	-6.48	eV per atom
total magnetization	0.000	μB/f.u.

---

# 2
A plane-wave DFT calculation with PBE was carried out for a relaxed structure of AcTbGa2.

a = 4.232 Å, b = 6.290 Å, c = 6.290 Å
α = 41.84°, β = 90.00°, γ = 90.00°
Fractional positions:
Ac  0.000  0.000  0.000
Tb  0.500  0.276  0.276
Ga  0.000  0.723  0.723
Ga  0.500  0.588  0.588

Results
formation enthalpy at 0 K	-533	meV per atom
calculated total energy	-4.23	eV per atom
total magnetization	0.000	μB/f.u.

---

# 3
A plane-wave DFT calculation with PBE was carried out for a relaxed structure of Zn2CuCl.

a = 3.167 Å, b = 3.056 Å, c = 6.992 Å
α = 90.00°, β = 90.02°, γ = 90.00°
Fractional positions:
Zn  0.000  0.000  0.000
Zn  0.499  0.500  0.774
Cu  0.501  0.500  0.201
Cl  0.503  0.000  0.478

Results
formation energy without anion corrections	-0.056	eV/atom
calculated total energy	-2.18	eV per atom
energy relative to the lowest polymorph listed for this composition	47	meV per atom
total magnetization	0.000	μB/f.u.

---

# 4
A plane-wave DFT calculation with PBE was carried out for a relaxed structure of SrTlOs2.

a = 2.995 Å, b = 2.995 Å, c = 9.566 Å
α = 90.00°, β = 90.00°, γ = 113.16°
Fractional positions:
Sr  0.000  0.000  0.000
Tl  0.000  0.000  0.500
Os  0.500  0.500  0.263
Os  0.500  0.500  0.737

Results
formation enthalpy at 0 K	1268	meV per atom
calculated total energy	-5.36	eV per atom
energy relative to the lowest polymorph listed for this composition	985	meV per atom
total magnetization	0.002	μB/f.u.

---

# 5
A plane-wave DFT calculation with PBE was carried out for a relaxed structure of ZnBiPb3.

a = 5.419 Å, b = 5.419 Å, c = 5.419 Å
α = 90.00°, β = 90.00°, γ = 90.00°
Fractional positions:
Zn  0.000  0.000  0.000
Bi  0.500  0.500  0.500
Pb  0.000  0.000  0.500
Pb  0.000  0.500  0.000
Pb  0.500  0.000  0.000

Results
formation enthalpy at 0 K	269	meV per atom
calculated total energy	-2.99	eV per atom
energy relative to the lowest polymorph listed for this composition	0	meV per atom
total magnetization	0.000	μB/f.u.

---

# 6
A plane-wave DFT calculation with PBE was carried out for a relaxed structure of DyTmTcAu.

a = 4.920 Å, b = 4.920 Å, c = 4.920 Å
α = 60.00°, β = 60.00°, γ = 60.00°
Fractional positions:
Dy  0.000  0.000  0.000
Tm  0.500  0.500  0.500
Tc  0.250  0.250  0.250
Au  0.750  0.750  0.750

Results
formation enthalpy at 0 K	-389	meV per atom
calculated total energy	-6.07	eV per atom
total magnetization	0.000	μB/f.u.

---

# 7
A plane-wave DFT calculation with PBE was carried out for a relaxed structure of Hf3InAs.

a = 6.666 Å, b = 6.666 Å, c = 12.747 Å
α = 97.34°, β = 97.34°, γ = 54.59°
Fractional positions:
Hf  0.143  0.184  0.832
Hf  0.155  0.723  0.932
Hf  0.184  0.143  0.332
Hf  0.277  0.845  0.568
Hf  0.313  0.346  0.659
Hf  0.346  0.313  0.159
Hf  0.654  0.687  0.841
Hf  0.687  0.654  0.341
Hf  0.723  0.155  0.432
Hf  0.816  0.857  0.668
Hf  0.845  0.277  0.068
Hf  0.857  0.816  0.168
In  0.186  0.625  0.372
In  0.375  0.814  0.128
In  0.625  0.186  0.872
In  0.814  0.375  0.628
As  0.000  0.500  0.000
As  0.243  0.757  0.750
As  0.500  0.000  0.500
As  0.757  0.243  0.250

Results
formation enthalpy at 0 K	-230	meV per atom
calculated total energy	-7.68	eV per atom
energy relative to the lowest polymorph listed for this composition	0	meV per atom
total magnetization	0.000	μB/f.u.

---

# 8
A plane-wave DFT calculation with PBE was carried out for a relaxed structure of Tb6AsSe2S3.

a = 8.995 Å, b = 8.995 Å, c = 8.081 Å
α = 103.11°, β = 103.11°, γ = 25.71°
Fractional positions:
Tb  0.004  0.004  0.248
Tb  0.332  0.332  0.432
Tb  0.339  0.339  0.903
Tb  0.661  0.661  0.097
Tb  0.668  0.668  0.568
Tb  0.996  0.996  0.752
As  0.500  0.500  0.500
Se  0.168  0.168  0.836
Se  0.832  0.832  0.164
S  0.168  0.168  0.334
S  0.500  0.500  0.000
S  0.832  0.832  0.666

Results
formation energy without anion corrections	-1.876	eV/atom
calculated total energy	-6.19	eV per atom
total magnetization	0.000	μB/f.u.

---

# 9
A plane-wave DFT calculation with PBE was carried out for a relaxed structure of CoHW.

a = 4.701 Å, b = 4.701 Å, c = 4.732 Å
α = 99.60°, β = 99.60°, γ = 33.52°
Fractional positions:
Co  0.119  0.119  0.371
Co  0.881  0.881  0.629
H  0.261  0.261  0.721
H  0.739  0.739  0.279
W  0.385  0.385  0.149
W  0.615  0.615  0.851

Results
calculated total energy	-7.73	eV per atom
total magnetization	0.000	μB/f.u.

---

# 10
A plane-wave DFT calculation with PBE was carried out for a relaxed structure of LaZn3Ru.

a = 5.489 Å, b = 5.489 Å, c = 5.489 Å
α = 90.00°, β = 90.00°, γ = 90.00°
Fractional positions:
La  0.000  0.000  0.000
Zn  0.000  0.000  0.500
Zn  0.000  0.500  0.000
Zn  0.500  0.000  0.000
Ru  0.500  0.500  0.500

Results
formation enthalpy at 0 K	1697	meV per atom
calculated total energy	-1.91	eV per atom
energy relative to the lowest polymorph listed for this composition	1936	meV per atom
total magnetization	1.847	μB/f.u.

---

# 11
A plane-wave DFT calculation with PBE was carried out for a relaxed structure of CaAcCuP.

a = 5.184 Å, b = 5.184 Å, c = 5.184 Å
α = 60.00°, β = 60.00°, γ = 60.00°
Fractional positions:
Ca  0.000  0.000  0.000
Ac  0.500  0.500  0.500
Cu  0.750  0.750  0.750
P  0.250  0.250  0.250

Results
formation enthalpy at 0 K	-526	meV per atom
calculated total energy	-4.43	eV per atom
total magnetization	0.000	μB/f.u.

---

# 12
A plane-wave DFT calculation with PBE was carried out for a relaxed structure of Ho2Zn2CdRh5.

a = 9.596 Å, b = 9.596 Å, c = 3.726 Å
α = 90.00°, β = 90.00°, γ = 90.00°
Fractional positions:
Ho  0.175  0.325  0.000
Ho  0.325  0.825  0.000
Ho  0.675  0.175  0.000
Ho  0.825  0.675  0.000
Zn  0.123  0.623  0.000
Zn  0.377  0.123  0.000
Zn  0.623  0.877  0.000
Zn  0.877  0.377  0.000
Cd  0.000  0.000  0.000
Cd  0.500  0.500  0.000
Rh  0.000  0.500  0.500
Rh  0.071  0.793  0.500
Rh  0.207  0.071  0.500
Rh  0.293  0.571  0.500
Rh  0.429  0.293  0.500
Rh  0.500  0.000  0.500
Rh  0.571  0.707  0.500
Rh  0.707  0.429  0.500
Rh  0.793  0.929  0.500
Rh  0.929  0.207  0.500

Results
formation enthalpy at 0 K	-533	meV per atom
calculated total energy	-5.47	eV per atom
total magnetization	0.000	μB/f.u.

---

# 13
A plane-wave DFT calculation with PBE was carried out for a relaxed structure of Ac2InBiPt6.

a = 7.183 Å, b = 7.183 Å, c = 7.183 Å
α = 60.00°, β = 60.00°, γ = 60.00°
Fractional positions:
Ac  0.250  0.250  0.250
Ac  0.750  0.750  0.750
In  0.000  0.000  0.000
Bi  0.500  0.500  0.500
Pt  0.248  0.248  0.752
Pt  0.248  0.752  0.248
Pt  0.248  0.752  0.752
Pt  0.752  0.248  0.248
Pt  0.752  0.248  0.752
Pt  0.752  0.752  0.248

Results
formation enthalpy at 0 K	-163	meV per atom
calculated total energy	-5.27	eV per atom
total magnetization	0.000	μB/f.u.

---

# 14
A plane-wave DFT calculation with PBE was carried out for a relaxed structure of ErNpV.

a = 6.725 Å, b = 6.725 Å, c = 6.725 Å
α = 44.46°, β = 44.46°, γ = 44.46°
Fractional positions:
Er  0.118  0.118  0.118
Er  0.882  0.882  0.882
Np  0.313  0.313  0.313
Np  0.687  0.687  0.687
V  0.433  0.433  0.433
V  0.567  0.567  0.567

Results
formation enthalpy at 0 K	459	meV per atom
calculated total energy	-8.41	eV per atom
total magnetization	2.850	μB/f.u.

---

# 15
A plane-wave DFT calculation with PBE was carried out for a relaxed structure of LaPmAu2.

a = 3.718 Å, b = 3.718 Å, c = 7.541 Å
α = 90.00°, β = 90.00°, γ = 90.00°
Fractional positions:
La  0.000  0.000  0.000
Pm  0.000  0.000  0.500
Au  0.500  0.500  0.265
Au  0.500  0.500  0.735

Results
formation enthalpy at 0 K	-783	meV per atom
calculated total energy	-4.84	eV per atom
energy relative to the lowest polymorph listed for this composition	37	meV per atom
total magnetization	0.001	μB/f.u.

---

# 16
A plane-wave DFT calculation with PBE was carried out for a relaxed structure of SrZn2H6.

a = 6.956 Å, b = 6.956 Å, c = 5.439 Å
α = 109.53°, β = 109.53°, γ = 79.99°
Fractional positions:
Sr  0.179  0.821  0.750
Sr  0.821  0.179  0.250
Zn  0.217  0.363  0.846
Zn  0.363  0.217  0.346
Zn  0.637  0.783  0.654
Zn  0.783  0.637  0.154
H  0.072  0.170  0.676
H  0.132  0.594  0.963
H  0.170  0.072  0.176
H  0.285  0.416  0.578
H  0.406  0.868  0.537
H  0.416  0.285  0.078
H  0.584  0.715  0.922
H  0.594  0.132  0.463
H  0.715  0.584  0.422
H  0.830  0.928  0.824
H  0.868  0.406  0.037
H  0.928  0.830  0.324

Results
calculated total energy	-2.84	eV per atom
energy relative to the lowest polymorph listed for this composition	5	meV per atom
total magnetization	0.000	μB/f.u.

---

# 17
A plane-wave DFT calculation with PBE was carried out for a relaxed structure of NbRu2Rh2.

a = 7.427 Å, b = 7.427 Å, c = 2.772 Å
α = 90.00°, β = 90.00°, γ = 90.00°
Fractional positions:
Nb  0.000  0.000  0.000
Nb  0.500  0.500  0.000
Ru  0.174  0.326  0.500
Ru  0.326  0.826  0.500
Ru  0.674  0.174  0.500
Ru  0.826  0.674  0.500
Rh  0.124  0.624  0.000
Rh  0.376  0.124  0.000
Rh  0.624  0.876  0.000
Rh  0.876  0.376  0.000

Results
formation enthalpy at 0 K	58	meV per atom
calculated total energy	-8.61	eV per atom
energy relative to the lowest polymorph listed for this composition	0	meV per atom
total magnetization	0.000	μB/f.u.

---

# 18
A plane-wave DFT calculation with PBE was carried out for a relaxed structure of LiAc2TiO5.

a = 7.184 Å, b = 7.184 Å, c = 5.930 Å
α = 90.00°, β = 90.00°, γ = 90.00°
Fractional positions:
Li  0.000  0.000  0.000
Li  0.500  0.500  0.000
Ac  0.181  0.319  0.500
Ac  0.319  0.819  0.500
Ac  0.681  0.181  0.500
Ac  0.819  0.681  0.500
Ti  0.000  0.500  0.000
Ti  0.500  0.000  0.000
O  0.000  0.000  0.500
O  0.130  0.630  0.237
O  0.130  0.630  0.763
O  0.370  0.130  0.237
O  0.370  0.130  0.763
O  0.500  0.500  0.500
O  0.630  0.870  0.237
O  0.630  0.870  0.763
O  0.870  0.370  0.237
O  0.870  0.370  0.763

Results
formation energy without anion corrections	-2.696	eV/atom
calculated total energy	-7.45	eV per atom
total magnetization	0.999	μB/f.u.

---

# 19
A plane-wave DFT calculation with PBE was carried out for a relaxed structure of K2ReAg.

a = 6.660 Å, b = 6.660 Å, c = 6.426 Å
α = 106.41°, β = 106.41°, γ = 23.73°
Fractional positions:
K  0.000  0.000  0.000
K  0.198  0.198  0.606
Re  0.432  0.432  0.461
Ag  0.771  0.771  0.153

Results
formation enthalpy at 0 K	1058	meV per atom
calculated total energy	-3.32	eV per atom
energy relative to the lowest polymorph listed for this composition	75	meV per atom
total magnetization	1.212	μB/f.u.

---

# 20
A plane-wave DFT calculation with PBE was carried out for a relaxed structure of InMo2I.

a = 10.106 Å, b = 10.106 Å, c = 10.106 Å
α = 155.21°, β = 155.21°, γ = 35.34°
Fractional positions:
In  0.000  0.000  0.000
In  0.750  0.250  0.500
Mo  0.206  0.625  0.081
Mo  0.375  0.456  0.581
Mo  0.544  0.125  0.919
Mo  0.875  0.794  0.419
I  0.250  0.750  0.500
I  0.500  0.500  0.000

Results
formation energy without anion corrections	1.087	eV/atom
calculated total energy	-5.40	eV per atom
energy relative to the lowest polymorph listed for this composition	170	meV per atom
total magnetization	0.000	μB/f.u.